Record 1
Computed, not measured: crystalline Tb3Pm4Si4 at its relaxed geometry at the PBE level of DFT.

Output
Symmetry: Immm, No. 71
Energy (eV per atom): -5.46
Magnetization (μB/f.u.): 0.000

extended XYZ file:
```
11
Lattice="-1.865 4.381 8.671 1.865 -4.381 8.671 1.865 4.381 -8.671" Properties=species:S:1:pos:R:3 pbc="T T T"
Tb 0.000 0.000 0.000
Tb 1.865 0.000 7.051
Tb 0.000 4.381 1.620
Pm 1.865 1.535 -2.953
Pm 1.865 1.535 2.953
Pm 0.000 2.846 5.718
Pm 0.000 2.846 11.624
Si 1.865 2.416 0.000
Si 0.000 0.000 4.809
Si 0.000 0.000 12.533
Si 0.000 1.965 8.671
```



Record 2
Computed, not measured: crystalline Tb2PmSi6 at its relaxed geometry at the PBE level of DFT.

Output
Symmetry: P6/mmm, No. 191
Energy (eV per atom): -5.73
Magnetization (μB/f.u.): 0.000

extended XYZ file:
```
9
Lattice="7.121 0.000 0.000 -3.561 6.167 0.000 0.000 0.000 4.014" Properties=species:S:1:pos:R:3 pbc="T T T"
Tb 0.000 4.111 0.000
Tb 3.561 2.056 0.000
Pm 0.000 0.000 0.000
Si -1.193 2.066 2.007
Si -2.368 4.101 2.007
Si 2.386 0.000 2.007
Si 1.193 2.066 2.007
Si 4.735 0.000 2.007
Si 2.368 4.101 2.007
```



Record 3
Computed, not measured: crystalline TbPm2Si2 at its relaxed geometry at the PBE level of DFT.

Output
Symmetry: P4/mbm, No. 127
Energy (eV per atom): -5.68
Magnetization (μB/f.u.): 0.000

extended XYZ file:
```
10
Lattice="7.613 0.000 0.000 0.000 7.613 0.000 0.000 0.000 4.347" Properties=species:S:1:pos:R:3 pbc="T T T"
Tb 0.000 0.000 0.000
Tb 3.807 3.807 0.000
Pm 1.347 2.460 2.173
Pm 2.460 6.266 2.173
Pm 5.154 1.347 2.173
Pm 6.266 5.154 2.173
Si 0.868 4.674 0.000
Si 2.939 0.868 0.000
Si 4.674 6.746 0.000
Si 6.746 2.939 0.000
```



Please write out number 1 again, unchanged.
Computed, not measured: crystalline Tb3Pm4Si4 at its relaxed geometry at the PBE level of DFT.

Output
Symmetry: Immm, No. 71
Energy (eV per atom): -5.46
Magnetization (μB/f.u.): 0.000

extended XYZ file:
```
11
Lattice="-1.865 4.381 8.671 1.865 -4.381 8.671 1.865 4.381 -8.671" Properties=species:S:1:pos:R:3 pbc="T T T"
Tb 0.000 0.000 0.000
Tb 1.865 0.000 7.051
Tb 0.000 4.381 1.620
Pm 1.865 1.535 -2.953
Pm 1.865 1.535 2.953
Pm 0.000 2.846 5.718
Pm 0.000 2.846 11.624
Si 1.865 2.416 0.000
Si 0.000 0.000 4.809
Si 0.000 0.000 12.533
Si 0.000 1.965 8.671
```